{"formula": "SrLi2Ta", "functional": "PBE-GGA", "state": "optimized geometry", "lattice": [[-2.595, -1.476, 0.831], [1.319, -2.715, -0.700], [3.219, -0.707, 8.801]], "species": ["Ta", "Li", "Li", "Sr"], "frac_coords": [[0.500, 0.500, 0.750], [0.000, 0.000, 0.959], [0.000, 0.000, 0.541], [0.500, 0.500, 0.250]], "formation_energy_ev_per_atom": 0.700, "energy_ev_per_cell": -14.56, "dos_at_fermi_per_ev_cell": 5.21, "relative_energy_mev_per_atom": 100, "sg": "No. 123"}